#P
VASP calculation (PBE-GGA) on an optimized crystal structure of SrCdHgTe3.

Calculated values
SG: Cmcm, No. 63

a b c (Å): 4.4186 7.6032 12.0148
angles (deg): 90.00 90.00 73.11
Fractional positions:
Cd (0.0000, 0.0000, 0.0000)
Cd (0.0000, 0.0000, 0.5000)
Hg (0.5301, 0.9399, 0.2500)
Hg (0.4699, 0.0601, 0.7500)
Sr (0.2305, 0.5389, 0.2500)
Sr (0.7694, 0.4611, 0.7500)
Te (0.6397, 0.7206, 0.0540)
Te (0.9036, 0.1929, 0.2500)
Te (0.6397, 0.7206, 0.4459)
Te (0.3603, 0.2794, 0.5540)
Te (0.0964, 0.8071, 0.7500)
Te (0.3603, 0.2794, 0.9460)

=====

#Q
VASP calculation (PBE-GGA) on an optimized crystal structure of SrCdHgTe3.

Calculated values
SG: Cmcm, No. 63

a b c (Å): 7.6861 7.6861 11.7714
angles (deg): 90.00 90.00 33.74
Fractional positions:
Cd (0.4728, 0.4728, 0.2500)
Cd (0.5272, 0.5272, 0.7500)
Hg (0.0000, 0.0000, 0.0000)
Hg (0.0000, 0.0000, 0.5000)
Sr (0.7629, 0.7629, 0.2500)
Sr (0.2371, 0.2371, 0.7500)
Te (0.3580, 0.3580, 0.0552)
Te (0.0935, 0.0935, 0.2500)
Te (0.3580, 0.3580, 0.4448)
Te (0.6420, 0.6420, 0.5552)
Te (0.9065, 0.9065, 0.7500)
Te (0.6420, 0.6420, 0.9448)

=====

Verdict on stability: #Q comes out at the bottom.

=====

#P
VASP calculation (PBE-GGA) on an optimized crystal structure of TbCd2Hg.

Calculated values
SG: Cmcm, No. 63

a b c (Å): 6.6680 6.6680 4.9643
angles (deg): 90.00 90.00 121.56
Fractional positions:
Cd (0.1798, 0.3307, 0.2500)
Cd (0.6693, 0.8202, 0.2500)
Cd (0.3307, 0.1798, 0.7500)
Cd (0.8202, 0.6693, 0.7500)
Hg (0.6690, 0.3310, 0.2500)
Hg (0.3310, 0.6690, 0.7500)
Tb (0.1728, 0.8272, 0.2500)
Tb (0.8272, 0.1728, 0.7500)

=====

#Q
VASP calculation (PBE-GGA) on an optimized crystal structure of TbCd2Hg.

Calculated values
SG: Amm2, No. 38

a b c (Å): 4.9581 6.5900 6.5900
angles (deg): 60.95 90.00 90.00
Fractional positions:
Cd (0.5000, 0.6746, 0.1554)
Cd (0.5000, 0.1614, 0.1614)
Cd (0.5000, 0.1554, 0.6746)
Cd (0.0000, 0.8430, 0.8430)
Hg (0.0000, 0.8346, 0.3352)
Hg (0.0000, 0.3352, 0.8346)
Tb (0.0000, 0.3339, 0.3339)
Tb (0.5000, 0.6619, 0.6619)

=====

Verdict on stability: #Q comes out at the bottom.